Entry 1:
{"formula": "KV2TeO8", "functional": "GGA+U", "state": "optimized geometry", "lattice": [[4.491, -2.895, 0.000], [4.491, 2.895, 0.000], [-0.375, 0.000, 7.953]], "species": ["K", "V", "V", "Te", "O", "O", "O", "O", "O", "O", "O", "O"], "frac_coords": [[0.000, 0.000, 0.000], [0.368, 0.368, 0.705], [0.632, 0.632, 0.295], [0.000, 0.000, 0.500], [0.220, 0.736, 0.682], [0.224, 0.224, 0.546], [0.264, 0.780, 0.318], [0.303, 0.303, 0.895], [0.697, 0.697, 0.105], [0.736, 0.220, 0.682], [0.776, 0.776, 0.454], [0.780, 0.264, 0.318]], "crystal_system": "monoclinic", "n_ef_per_ev_cell": 4.52, "e_tot_ev_per_atom": -6.515}

Entry 2:
{"formula": "K2VTeO", "functional": "GGA+U", "state": "optimized geometry", "lattice": [[5.184, 0.000, 0.000], [0.000, 5.184, 0.000], [0.000, 0.000, 4.913]], "species": ["K", "K", "V", "Te", "O"], "frac_coords": [[0.000, 0.500, 0.000], [0.500, 0.000, 0.000], [0.000, 0.000, 0.500], [0.500, 0.500, 0.500], [0.500, 0.500, 0.000]], "crystal_system": "tetragonal", "n_ef_per_ev_cell": 1.92, "e_tot_ev_per_atom": -3.590}

Entry 3:
{"formula": "KVTe2O6", "functional": "GGA+U", "state": "optimized geometry", "lattice": [[4.577, -6.808, 0.000], [4.577, 6.808, 0.000], [-1.289, 0.000, 6.300]], "species": ["K", "K", "V", "V", "Te", "Te", "Te", "Te", "O", "O", "O", "O", "O", "O", "O", "O", "O", "O", "O", "O"], "frac_coords": [[0.116, 0.884, 0.750], [0.884, 0.116, 0.250], [0.253, 0.747, 0.250], [0.747, 0.253, 0.750], [0.212, 0.387, 0.806], [0.387, 0.212, 0.306], [0.613, 0.788, 0.694], [0.788, 0.613, 0.194], [0.022, 0.663, 0.338], [0.153, 0.220, 0.990], [0.220, 0.153, 0.490], [0.251, 0.605, 0.993], [0.337, 0.978, 0.162], [0.395, 0.749, 0.507], [0.605, 0.251, 0.493], [0.663, 0.022, 0.838], [0.749, 0.395, 0.007], [0.780, 0.847, 0.510], [0.847, 0.780, 0.010], [0.978, 0.337, 0.662]], "crystal_system": "monoclinic", "n_ef_per_ev_cell": 0.00, "e_tot_ev_per_atom": -5.850}